A relaxed structure of Ce5HgSb5. Source: Alexandria via LeMat-Bulk, functional PBE.

The density comes out at 6.56 g/cm3. The calculation puts the raw total energy at -5.20 eV/atom. The raw formation energy comes out at -0.6034 eV/atom. Its crystal system is monoclinic.

The structure belongs to space group C2/m (No. 12); the cell edges are 13.8508, 6.3313 and 9.2056 Å and the angles 90.00°, 108.80° and 90.00°. The inequivalent atoms are Ce at (0.0000, 0.0000, 0.0000), Ce at (0.1673, 0.5000, 0.8239), Ce at (0.1702, 0.5000, 0.3448), Hg at (0.0000, 0.5000, 0.0000), Sb at (0.0000, 0.5000, 0.5000), Sb at (0.1630, 0.0000, 0.3320) and Sb at (0.1714, 0.0000, 0.8403).